(1)
CaZnCu2 at its PBEsol-relaxed geometry, computed with SCAN.

POSCAR file:
```
CaZnCu2
1.0
7.185 0.000 0.000
0.000 4.144 0.000
-2.386 0.000 4.921
Ca Zn Cu
2 2 4
Direct
0.000 0.000 0.000
0.500 0.500 0.000
0.304 0.500 0.412
0.804 0.000 0.412
0.007 0.500 0.522
0.197 0.000 0.590
0.507 0.000 0.522
0.697 0.500 0.590
```

Properties
Crystal system: monoclinic
Total magnetic moment, μB per atom: 0.0000
Total DFT energy (no corrections), eV per atom: -13.56
Formation enthalpy at 0 K, eV/atom: -0.17

(2)
Ni2POs at its PBEsol-relaxed geometry, computed with SCAN.

POSCAR file:
```
Ni2POs
1.0
2.657 0.000 0.000
-1.329 2.301 0.000
0.000 0.000 22.930
Ni P Os
6 3 3
Direct
0.000 0.000 0.241
0.000 0.000 0.759
0.333 0.667 0.426
0.333 0.667 0.908
0.667 0.333 0.092
0.667 0.333 0.574
0.000 0.000 0.500
0.333 0.667 0.167
0.667 0.333 0.833
0.000 0.000 0.000
0.333 0.667 0.667
0.667 0.333 0.333
```

Properties
Crystal system: trigonal
Total magnetic moment, μB per atom: 0.0000
Total DFT energy (no corrections), eV per atom: -28.64
Formation enthalpy at 0 K, eV/atom: 0.02

no.,mass density (g/cm³)
1,5.27
2,12.03